--- a ---
Ba3GaTe4 | PBE-GGA | relaxed

a = 9.148 Å, b = 10.730 Å, c = 12.635 Å
α = 90.00°, β = 90.00°, γ = 90.00°
Atoms (fractional coordinates):
Ba 0.501 0.211 0.536
Ba 0.999 0.711 0.464
Ba 0.914 0.966 0.750
Ba 0.999 0.711 0.036
Ba 0.086 0.034 0.250
Ba 0.499 0.789 0.036
Ba 0.001 0.289 0.964
Ba 0.001 0.289 0.536
Ba 0.499 0.789 0.464
Ba 0.414 0.534 0.750
Ba 0.501 0.211 0.964
Ba 0.586 0.466 0.250
Ga 0.295 0.973 0.750
Ga 0.795 0.527 0.750
Ga 0.205 0.473 0.250
Ga 0.705 0.027 0.250
Te 0.295 0.485 0.470
Te 0.948 0.342 0.250
Te 0.705 0.515 0.530
Te 0.552 0.842 0.750
Te 0.205 0.985 0.970
Te 0.242 0.740 0.250
Te 0.448 0.158 0.250
Te 0.205 0.985 0.530
Te 0.705 0.515 0.970
Te 0.052 0.658 0.750
Te 0.742 0.760 0.250
Te 0.258 0.240 0.750
Te 0.795 0.015 0.470
Te 0.795 0.015 0.030
Te 0.758 0.260 0.750
Te 0.295 0.485 0.030

Output
Calculated density   5314 kg/m3
Magnetization   0.000 μB per atom

--- b ---
Ba3GaTe4 | PBE-GGA | relaxed

a = 7.045 Å, b = 9.859 Å, c = 11.374 Å
α = 90.00°, β = 90.00°, γ = 90.00°
Atoms (fractional coordinates):
Te 0.600 0.189 0.000
Te 0.070 0.886 0.000
Te 0.572 0.686 0.274
Te 0.572 0.686 0.726
Te 0.072 0.314 0.226
Te 0.072 0.314 0.774
Te 0.570 0.114 0.500
Te 0.100 0.811 0.500
Ba 0.571 0.333 0.262
Ba 0.569 0.853 0.000
Ba 0.571 0.333 0.738
Ba 0.071 0.667 0.238
Ba 0.071 0.667 0.762
Ba 0.069 0.147 0.500
Ga 0.492 0.821 0.500
Ga 0.992 0.179 0.000

Output
Calculated density   4171 kg/m3
Magnetization   0.000 μB per atom

Relative energies, in meV/atom, with the most stable structure set to zero: a 0; b 56.

--- a ---
BaTiGa2 | PBE-GGA | relaxed

a = 5.265 Å, b = 5.265 Å, c = 9.858 Å
α = 74.51°, β = 74.51°, γ = 90.00°
Last column: magnetic moment on the atom in μB.
Atoms (fractional coordinates):
Ba 0.750 0.250 0.500  0.10
Ba 0.000 0.000 0.000  0.10
Ga 0.875 0.626 0.750  0.06
Ga 0.376 0.125 0.250  0.03
Ga 0.375 0.624 0.750  0.05
Ga 0.374 0.625 0.250  0.03
Ti 0.250 0.750 0.500  1.39
Ti 0.500 0.500 0.000  1.39

Output
Calculated density   4261 kg/m3
Magnetization   0.587 μB per atom

--- b ---
BaTiGa2 | PBE-GGA | relaxed

a = 5.149 Å, b = 5.149 Å, c = 5.149 Å
α = 60.00°, β = 60.00°, γ = 60.00°
Atoms (fractional coordinates):
Ga 0.250 0.250 0.250
Ga 0.750 0.750 0.750
Ti 0.000 0.000 0.000
Ba 0.500 0.500 0.500

Output
Calculated density   5583 kg/m3
Magnetization   0.000 μB per atom

Relative energies, in meV/atom, with the most stable structure set to zero: a 0; b 7.

--- a ---
BaTi2Ga2 | PBE-GGA | relaxed

a = 4.839 Å, b = 4.839 Å, c = 6.428 Å
α = 67.89°, β = 67.89°, γ = 90.00°
Atoms (fractional coordinates):
Ti 0.663 0.663 0.673
Ti 0.337 0.337 0.327
Ba 0.000 0.000 0.000
Ga 0.750 0.250 0.500
Ga 0.250 0.750 0.500

Output
Calculated density   4855 kg/m3
Magnetization   0.000 μB per atom

--- b ---
BaTi2Ga2 | PBE-GGA | relaxed

a = 8.391 Å, b = 8.391 Å, c = 2.997 Å
α = 90.00°, β = 90.00°, γ = 90.00°
Last column: magnetic moment on the atom in μB.
Atoms (fractional coordinates):
Ga 0.829 0.329 0.500  0.00
Ga 0.171 0.671 0.500  0.00
Ga 0.671 0.829 0.500  -0.01
Ga 0.329 0.171 0.500  -0.01
Ba 0.500 0.500 0.000  0.02
Ba 0.000 0.000 0.000  0.02
Ti 0.385 0.885 0.000  0.73
Ti 0.615 0.115 0.000  0.73
Ti 0.885 0.615 0.000  0.73
Ti 0.115 0.385 0.000  0.73

Output
Calculated density   5864 kg/m3
Magnetization   0.367 μB per atom

Relative energies, in meV/atom, with the most stable structure set to zero: a 169; b 0.

--- a ---
BaTlGa4 | PBE-GGA | relaxed

a = 4.693 Å, b = 8.395 Å, c = 16.261 Å
α = 90.00°, β = 90.00°, γ = 90.00°
Atoms (fractional coordinates):
Ba 0.000 0.367 0.650
Ba 0.000 0.633 0.350
Ba 0.000 0.133 0.150
Ba 0.000 0.867 0.850
Tl 0.000 0.357 0.908
Tl 0.000 0.857 0.592
Tl 0.000 0.643 0.092
Tl 0.000 0.143 0.408
Ga 0.500 0.515 0.804
Ga 0.500 0.985 0.304
Ga 0.500 0.887 0.451
Ga 0.500 0.613 0.951
Ga 0.500 0.485 0.196
Ga 0.500 0.706 0.688
Ga 0.500 0.113 0.549
Ga 0.500 0.133 0.966
Ga 0.500 0.387 0.049
Ga 0.500 0.867 0.034
Ga 0.500 0.206 0.812
Ga 0.500 0.794 0.188
Ga 0.500 0.367 0.466
Ga 0.500 0.294 0.312
Ga 0.500 0.633 0.534
Ga 0.500 0.015 0.696

Output
Calculated density   6434 kg/m3
Magnetization   0.000 μB per atom

--- b ---
BaTlGa4 | PBE-GGA | relaxed

a = 5.967 Å, b = 5.967 Å, c = 5.967 Å
α = 60.00°, β = 60.00°, γ = 60.00°
Atoms (fractional coordinates):
Tl 0.000 0.000 0.000
Ga 0.626 0.123 0.626
Ga 0.626 0.626 0.123
Ga 0.626 0.626 0.626
Ga 0.123 0.626 0.626
Ba 0.250 0.250 0.250

Output
Calculated density   6861 kg/m3
Magnetization   0.000 μB per atom

Relative energies, in meV/atom, with the most stable structure set to zero: a 0; b 65.

--- a ---
BaTl2Ga | PBE-GGA | relaxed

a = 5.337 Å, b = 5.337 Å, c = 10.880 Å
α = 75.80°, β = 75.80°, γ = 90.00°
Atoms (fractional coordinates):
Ga 0.500 0.500 0.000
Ga 0.250 0.750 0.500
Tl 0.875 0.762 0.750
Tl 0.512 0.125 0.250
Tl 0.238 0.625 0.250
Tl 0.375 0.488 0.750
Ba 0.750 0.250 0.500
Ba 0.000 0.000 0.000

Output
Calculated density   7037 kg/m3
Magnetization   0.000 μB per atom

--- b ---
BaTl2Ga | PBE-GGA | relaxed

a = 4.266 Å, b = 4.266 Å, c = 10.471 Å
α = 78.24°, β = 78.24°, γ = 60.00°
Last column: magnetic moment on the atom in μB.
Atoms (fractional coordinates):
Ga 0.500 0.500 0.500  0.01
Tl 0.115 0.115 0.655  0.00
Tl 0.885 0.885 0.345  0.00
Ba 0.000 0.000 0.000  0.10

Output
Calculated density   6374 kg/m3
Magnetization   0.083 μB per atom

--- c ---
BaTl2Ga | PBE-GGA | relaxed

a = 5.608 Å, b = 5.608 Å, c = 5.608 Å
α = 60.00°, β = 60.00°, γ = 60.00°
Atoms (fractional coordinates):
Tl 0.250 0.250 0.250
Tl 0.750 0.750 0.750
Ga 0.000 0.000 0.000
Ba 0.500 0.500 0.500

Output
Calculated density   8197 kg/m3
Magnetization   0.000 μB per atom

Relative energies, in meV/atom, with the most stable structure set to zero: a 87; b 356; c 0.

--- a ---
Ba3TlGa | PBE-GGA | relaxed

a = 6.425 Å, b = 6.425 Å, c = 6.425 Å
α = 90.00°, β = 90.00°, γ = 90.00°
Last column: magnetic moment on the atom in μB.
Atoms (fractional coordinates):
Ba 0.000 0.000 0.500  0.09
Ba 0.000 0.500 0.000  0.14
Ba 0.500 0.000 0.000  0.17
Ga 0.000 0.000 0.000  0.18
Tl 0.500 0.500 0.500  0.21

Output
Calculated density   4295 kg/m3
Magnetization   0.583 μB per atom

--- b ---
Ba3TlGa | PBE-GGA | relaxed

a = 4.529 Å, b = 9.901 Å, c = 10.083 Å
α = 88.49°, β = 90.00°, γ = 103.22°
Atoms (fractional coordinates):
Ba 0.968 0.970 0.031
Ba 0.418 0.869 0.662
Ba 0.781 0.596 0.405
Ba 0.075 0.184 0.390
Ba 0.263 0.558 0.017
Ba 0.627 0.285 0.760
Tl 0.617 0.267 0.124
Tl 0.427 0.887 0.297
Ga 0.799 0.631 0.766
Ga 0.245 0.523 0.656

Output
Calculated density   5178 kg/m3
Magnetization   0.039 μB per atom

Relative energies, in meV/atom, with the most stable structure set to zero: a 267; b 0.